<w>
## La2Tb3Pr6 (PBE-GGA)

Data for a relaxed structure of La2Tb3Pr6.

a = 5.802 Å, b = 5.802 Å, c = 24.739 Å
α = 90.00°, β = 90.00°, γ = 90.00°
Space group I4/mmm (No. 139)
One atom of each set of equivalent atoms:
La  0.000  0.000  0.059 [4 per cell]
Tb  0.000  0.000  0.341 [4 per cell]
Tb  0.000  0.000  0.500 [2 per cell]
Pr  0.000  0.000  0.203 [4 per cell]
Pr  0.000  0.500  0.097 [8 per cell]

=====

<x>
## La2Tb3Pr6 (PBE-GGA)

Data for a relaxed structure of La2Tb3Pr6.

a = 6.298 Å, b = 10.927 Å, c = 12.014 Å
α = 90.00°, β = 100.23°, γ = 90.00°
Space group C2/m (No. 12)
One atom of each set of equivalent atoms:
La  0.000  0.167  0.000 [4 per cell]
Tb  0.000  0.000  0.500 [2 per cell]
Tb  0.000  0.335  0.500 [4 per cell]
Pr  0.248  0.500  0.747 [4 per cell]
Pr  0.249  0.166  0.747 [8 per cell]

=====

Stability summary - winner: <x>; margin: 273 meV/atom.

=====

<w>
## LaTb3Pr (PBE-GGA)

Data for a relaxed structure of LaTb3Pr.

a = 6.153 Å, b = 5.704 Å, c = 6.163 Å
α = 90.00°, β = 119.91°, γ = 90.00°
Space group Pm (No. 6)
One atom of each set of equivalent atoms:
La  0.000  0.000  0.000 [1 per cell]
Tb  0.340  0.500  0.331 [1 per cell]
Tb  0.666  0.500  0.008 [1 per cell]
Tb  0.989  0.500  0.657 [1 per cell]
Pr  0.333  0.000  0.665 [1 per cell]

=====

<x>
## LaTb3Pr (PBE-GGA)

Data for a relaxed structure of LaTb3Pr.

a = 10.260 Å, b = 3.637 Å, c = 18.083 Å
α = 90.00°, β = 90.00°, γ = 90.00°
Space group Pnma (No. 62)
One atom of each set of equivalent atoms:
La  0.126  0.250  0.050 [4 per cell]
Tb  0.125  0.250  0.449 [4 per cell]
Tb  0.125  0.250  0.849 [4 per cell]
Tb  0.128  0.250  0.251 [4 per cell]
Pr  0.120  0.250  0.651 [4 per cell]

=====

Stability summary - winner: <x>; margin: 368 meV/atom.

=====

<w>
## La4TbPr2 (PBE-GGA)

Data for a relaxed structure of La4TbPr2.

a = 7.065 Å, b = 8.852 Å, c = 9.606 Å
α = 64.86°, β = 71.05°, γ = 76.05°
Space group P1 (No. 1)
One atom of each set of equivalent atoms:
La  0.000  0.000  0.000 [1 per cell]
La  0.041  0.190  0.261 [1 per cell]
La  0.189  0.762  0.544 [1 per cell]
La  0.420  0.714  0.855 [1 per cell]
La  0.621  0.476  0.405 [1 per cell]
La  0.758  0.046  0.691 [1 per cell]
La  0.853  0.430  0.715 [1 per cell]
La  0.897  0.617  0.977 [1 per cell]
Tb  0.332  0.333  0.831 [1 per cell]
Tb  0.709  0.857  0.428 [1 per cell]
Pr  0.143  0.572  0.284 [1 per cell]
Pr  0.284  0.145  0.569 [1 per cell]
Pr  0.474  0.907  0.118 [1 per cell]
Pr  0.567  0.282  0.142 [1 per cell]

=====

<x>
## La4TbPr2 (PBE-GGA)

Data for a relaxed structure of La4TbPr2.

a = 7.001 Å, b = 11.760 Å, c = 12.435 Å
α = 90.00°, β = 90.00°, γ = 90.00°
Space group Imma (No. 74)
One atom of each set of equivalent atoms:
La  0.000  0.004  0.146 [8 per cell]
La  0.219  0.250  0.994 [8 per cell]
Tb  0.250  0.250  0.250 [4 per cell]
Pr  0.000  0.000  0.500 [4 per cell]
Pr  0.000  0.250  0.718 [4 per cell]

=====

Stability summary - winner: <w>; margin: 155 meV/atom.

=====

<w>
## La6Tb12Pr (PBE-GGA)

Data for a relaxed structure of La6Tb12Pr.

a = 12.4155 Å, b = 12.4155 Å, c = 14.6846 Å
α = 90.00°, β = 90.00°, γ = 120.00°
Space group R-3 (No. 148, hexagonal axes)
One atom of each set of equivalent atoms:
La  0.0238  0.5829  0.2198 [18 per cell]
Tb  0.0527  0.8700  0.3041 [18 per cell]
Tb  0.0660  0.1949  0.9047 [18 per cell]
Pr  0.0000  0.0000  0.5000 [3 per cell]

=====

<x>
## La6Tb12Pr (PBE-GGA)

Data for a relaxed structure of La6Tb12Pr.

a = 13.4530 Å, b = 13.4530 Å, c = 12.7933 Å
α = 90.00°, β = 90.00°, γ = 120.00°
Space group R-3m (No. 166, hexagonal axes)
One atom of each set of equivalent atoms:
La  0.0385  0.5192  0.1148 [18 per cell]
Tb  0.0000  0.2547  0.0000 [18 per cell]
Tb  0.0919  0.1837  0.7643 [18 per cell]
Pr  0.0000  0.0000  0.5000 [3 per cell]

=====

Stability summary - winner: <w>; margin: 45 meV/atom.